The following is a DFT calculation (GGA-PBE) of a relaxed structure of Cd5Ag2Pd.

Cell and atoms, written as POSCAR:
```
Cd5Ag2Pd
1.0
7.464 0.000 0.000
0.000 7.464 0.000
-3.732 -3.732 5.716
Ag Cd Pd
4 10 2
direct
0.639 0.139 0.000 Ag
0.361 0.861 0.000 Ag
0.861 0.639 0.000 Ag
0.139 0.361 0.000 Ag
0.000 0.000 0.000 Cd
0.500 0.500 0.000 Cd
0.993 0.493 0.675 Cd
0.007 0.507 0.325 Cd
0.507 0.318 0.325 Cd
0.818 0.007 0.325 Cd
0.182 0.993 0.675 Cd
0.682 0.182 0.675 Cd
0.493 0.682 0.675 Cd
0.318 0.818 0.325 Cd
0.250 0.250 0.500 Pd
0.750 0.750 0.500 Pd
```

Values from the calculation:
Its crystal system is tetragonal. The value obtained for the polymorph energy (0 for the lowest one) is 48.2 meV per atom. The calculation puts the energy of formation from the pure elements at -7 kJ/mol of atoms.

=====

The following is a DFT calculation (GGA-PBE) of a relaxed structure of Cd2AgPd2.

Cell and atoms, written as POSCAR:
```
Cd2AgPd2
1.0
4.039 0.000 0.000
0.000 4.039 0.000
2.019 2.019 6.267
Ag Pd Cd
1 2 2
direct
0.000 0.000 0.000 Ag
0.603 0.603 0.795 Pd
0.397 0.397 0.205 Pd
0.250 0.750 0.500 Cd
0.750 0.250 0.500 Cd
```

Values from the calculation:
Its crystal system is tetragonal. The value obtained for the polymorph energy (0 for the lowest one) is 319.6 meV per atom. The calculation puts the energy of formation from the pure elements at 7 kJ/mol of atoms.

=====

The following is a DFT calculation (GGA-PBE) of a relaxed structure of Cd4Ag7Pd.

Cell and atoms, written as POSCAR:
```
Cd4Ag7Pd
1.0
-5.679 1.464 -0.405
0.095 1.850 4.848
-2.493 8.599 -0.595
Ag Pd Cd
7 1 4
direct
0.998 0.327 0.669 Ag
0.002 0.673 0.331 Ag
0.242 0.503 0.003 Ag
0.500 0.000 0.000 Ag
0.753 0.170 0.329 Ag
0.247 0.830 0.671 Ag
0.758 0.497 0.997 Ag
0.000 0.000 0.000 Pd
0.749 0.823 0.674 Cd
0.518 0.679 0.322 Cd
0.251 0.177 0.326 Cd
0.482 0.321 0.678 Cd
```

Values from the calculation:
Its crystal system is triclinic. The value obtained for the polymorph energy (0 for the lowest one) is 0.0 meV per atom. The calculation puts the energy of formation from the pure elements at -6 kJ/mol of atoms.

=====

The following is a DFT calculation (GGA-PBE) of a relaxed structure of Cd2Ag5Pd.

Cell and atoms, written as POSCAR:
```
Cd2Ag5Pd
1.0
-1.567 2.306 2.936
-4.644 -3.752 0.469
5.971 -6.367 8.189
Cd Ag Pd
4 10 2
direct
0.500 0.233 0.620 Cd
0.500 0.733 0.880 Cd
0.500 0.267 0.120 Cd
0.500 0.767 0.380 Cd
0.000 0.487 0.749 Ag
0.500 0.758 0.126 Ag
0.000 0.500 0.500 Ag
0.500 0.242 0.874 Ag
0.000 0.013 0.249 Ag
0.500 0.742 0.626 Ag
0.500 0.258 0.374 Ag
0.000 0.987 0.751 Ag
0.000 0.513 0.251 Ag
0.000 0.000 0.000 Ag
0.000 0.000 0.500 Pd
0.000 0.500 0.000 Pd
```

Values from the calculation:
Its crystal system is orthorhombic. The calculation puts the energy of formation from the pure elements at -10 kJ/mol of atoms.

=====

The following is a DFT calculation (GGA-PBE) of a relaxed structure of Cd12AgPd6.

Cell and atoms, written as POSCAR:
```
Cd12AgPd6
1.0
-0.978 7.406 -2.546
-4.750 -4.968 -3.878
-1.165 -0.484 7.791
Cd Pd Ag
12 6 1
direct
0.329 0.482 0.203 Cd
0.883 0.823 0.259 Cd
0.203 0.329 0.482 Cd
0.259 0.883 0.823 Cd
0.177 0.741 0.117 Cd
0.518 0.797 0.671 Cd
0.797 0.671 0.518 Cd
0.823 0.259 0.883 Cd
0.482 0.203 0.329 Cd
0.741 0.117 0.177 Cd
0.671 0.518 0.797 Cd
0.117 0.177 0.741 Cd
0.054 0.566 0.351 Pd
0.434 0.649 0.946 Pd
0.649 0.946 0.434 Pd
0.351 0.054 0.566 Pd
0.946 0.434 0.649 Pd
0.566 0.351 0.054 Pd
0.000 0.000 0.000 Ag
```

Values from the calculation:
Its crystal system is trigonal. The calculation puts the energy of formation from the pure elements at -23 kJ/mol of atoms.

=====

The following is a DFT calculation (GGA-PBE) of a relaxed structure of Cd2Ag2Pd7.

Cell and atoms, written as POSCAR:
```
Cd2Ag2Pd7
1.0
4.190 0.000 -1.279
-1.045 5.971 -3.424
-0.023 0.198 7.430
Pd Ag Cd
7 2 2
direct
0.347 0.473 0.694 Pd
0.853 0.765 0.707 Pd
0.147 0.058 0.293 Pd
0.653 0.779 0.306 Pd
0.500 0.916 0.000 Pd
0.148 0.483 0.297 Pd
0.852 0.186 0.703 Pd
0.000 0.624 0.000 Ag
0.500 0.326 0.000 Ag
0.702 0.323 0.403 Cd
0.298 0.920 0.597 Cd
```

Values from the calculation:
Its crystal system is orthorhombic. The value obtained for the polymorph energy (0 for the lowest one) is 0.0 meV per atom. The calculation puts the energy of formation from the pure elements at -8 kJ/mol of atoms.

=====

Among the records above, which one has the highest energy of formation from the pure elements? Cd2AgPd2